ScSe (PBE-GGA, optimized geometry); space-group type = No. 217; formation energy (no corrections) = -1.23 eV/atom; M_tot = 4.209 Bohr magnetons per cell; theoretical density = 2857 kg/m³; crystal system = cubic
1.0
8.322 0.000 0.000
0.000 8.322 0.000
0.000 0.000 8.322
Se Sc
8 8
direct
0.178 0.178 0.822 Se
0.822 0.822 0.822 Se
0.822 0.178 0.178 Se
0.178 0.822 0.178 Se
0.678 0.678 0.322 Se
0.678 0.322 0.678 Se
0.322 0.678 0.678 Se
0.322 0.322 0.322 Se
0.135 0.135 0.135 Sc
0.865 0.135 0.865 Sc
0.865 0.865 0.135 Sc
0.635 0.365 0.365 Sc
0.135 0.865 0.865 Sc
0.365 0.635 0.365 Sc
0.635 0.635 0.635 Sc
0.365 0.365 0.635 Sc